A geometry-optimized MgIn2MoO6 structure, computed with GGA+U.

## Properties
**VASP energy**: -5.89 eV per atom
**Symmetry**: P4mm (99)
**Total magnetic moment**: 0.069 μB per atom

a b c (Å): 5.300 5.300 4.951
angles (deg): 90.00 90.00 90.00
Element x y z (fractional)
Mg 0.000 0.000 0.000
In 0.000 0.500 0.409
In 0.500 0.000 0.409
Mo 0.500 0.500 0.995
O 0.000 0.000 0.599
O 0.259 0.259 0.152
O 0.259 0.741 0.152
O 0.500 0.500 0.633
O 0.741 0.259 0.152
O 0.741 0.741 0.152